# TlInGaHg3

TlInGaHg3 after structural relaxation (GGA-PBE, Alexandria via LeMat-Bulk).

```
TlInGaHg3
1.0
9.2050 -2.8608 0.0000
9.2050 2.8608 0.0000
-0.2087 0.0000 6.0621
Tl In Ga Hg
2 2 2 6
Cartesian
3.7683 0.0000 2.3187
14.4331 0.0000 3.7434
2.2700 0.0000 5.2440
15.9314 0.0000 0.8180
8.2386 0.0000 4.9383
9.9628 0.0000 1.1237
0.5161 0.0000 1.6444
5.4191 0.0000 5.4934
7.1876 0.0000 2.2740
11.0138 0.0000 3.7880
12.7823 0.0000 0.5687
17.6853 0.0000 4.4176
```

Summary:
V: 26.6 A^3/atom
ΔH_f (0 K): 0.2 eV per formula unit
E: -1.4712 eV per atom
SG: No. 12
Magnetization: 0.00 μB per formula unit